(1)
Here is an optimized crystal structure of SrGa3Ag from Alexandria. Energies are from PBE-GGA.

It has space group Cmcm (No. 63), with a = 6.5518 Å, b = 11.0909 Å, c = 6.0352 Å, α = 90.00°, β = 90.00° and γ = 90.00°. Symmetry generates all atoms from Sr at (0.0000, 0.2369, 0.2500), Ga at (0.0000, 0.3475, 0.7500), Ga at (0.2151, 0.5000, 0.0000) and Ag at (0.0000, 0.1103, 0.7500).

Its calculated formation energy is -0.384 eV per atom.

---

(2)
Here is an optimized crystal structure of Tb3Tm4Cu4 from Alexandria. Energies are from PBE-GGA.

It has space group Immm (No. 71), with a = 4.7831 Å, b = 7.3104 Å, c = 14.9323 Å, α = 90.00°, β = 90.00° and γ = 90.00°. Symmetry generates all atoms from Tb at (0.0000, 0.0000, 0.0000), Tb at (0.0000, 0.5000, 0.1044), Tm at (0.0000, 0.2814, 0.3275), Cu at (0.0000, 0.0000, 0.2028) and Cu at (0.0000, 0.1689, 0.5000).

Its calculated formation energy is -0.101 eV per atom.

---

(3)
Here is an optimized crystal structure of Nd6BiTe5 from Alexandria. Energies are from PBE-GGA.

It has space group C2/m (No. 12), with a = 7.8100 Å, b = 13.5193 Å, c = 7.8527 Å, α = 90.00°, β = 109.34° and γ = 90.00°. Symmetry generates all atoms from Nd at (0.2484, 0.0000, 0.2503), Nd at (0.2489, 0.1668, 0.7488), Bi at (0.0000, 0.5000, 0.0000), Te at (0.0000, 0.0000, 0.5000), Te at (0.0000, 0.1672, 0.0000) and Te at (0.0000, 0.3344, 0.5000).

The calculation puts the uncorrected formation energy at -1.35 eV/atom.

---

Number 1: V 438.5 Å³ per cell. Number 2: V 522.1 Å³ per cell. Number 3: V 782.3 Å³ per cell.